Entry 1:
The following is a PBE-GGA calculation of an optimized crystal structure of K2Zn2Cd, from the Alexandria database.

Calculated values
* ΔE_f: 0.13 eV per atom
* space-group type: I4/mmm
* magnetization: 0.0000 μB per atom

The structure in POSCAR format:
```
K2Zn2Cd
1.0
6.710 0.000 0.000
0.000 6.710 0.000
3.355 3.355 3.906
Zn K Cd
2 2 1
direct
0.343 0.343 0.314 Zn
0.657 0.657 0.686 Zn
0.750 0.250 0.500 K
0.250 0.750 0.500 K
0.000 0.000 0.000 Cd
```

***

Entry 2:
The following is a PBE-GGA calculation of an optimized crystal structure of Be2AuSe, from the Alexandria database.

Calculated values
* space-group type: Pmmm
* magnetization: 0.0000 μB per atom
* uncorrected formation energy: 0.03 eV per atom

The structure in POSCAR format:
```
Be2AuSe
1.0
3.191 0.000 0.000
0.000 3.532 -0.018
0.000 0.028 5.462
Be Au Se
2 1 1
direct
0.000 0.249 0.954 Be
0.000 0.251 0.546 Be
0.500 0.750 0.750 Au
0.500 0.250 0.250 Se
```

***

Entry 3:
The following is a PBE-GGA calculation of an optimized crystal structure of CoSbRu2, from the Alexandria database.

Calculated values
* space-group type: R3m
* magnetization: 0.3455 μB per atom
* uncorrected formation energy: 0.47 eV per atom

The structure in POSCAR format:
```
CoSbRu2
1.0
8.500 0.005 0.003
7.998 2.877 0.003
7.998 1.397 2.515
Co Ru Sb
1 2 1
direct
0.749 0.749 0.749 Co
0.001 0.001 0.001 Ru
0.253 0.253 0.253 Ru
0.497 0.497 0.497 Sb
```

***

Entry 4:
The following is a PBE-GGA calculation of an optimized crystal structure of AcPuZn2O8, from the Alexandria database.

Calculated values
* space-group type: I-4m2
* magnetization: 0.0003 μB per atom
* uncorrected formation energy: -1.75 eV per atom

The structure in POSCAR format:
```
AcPuZn2O8
1.0
6.064 0.389 0.000
-2.340 5.607 0.000
-1.862 -2.998 4.946
Ac Pu Zn O
1 1 2 8
direct
0.000 0.000 0.000 Ac
0.250 0.750 0.500 Pu
0.750 0.250 0.500 Zn
0.500 0.500 0.000 Zn
0.368 0.032 0.336 O
0.309 0.522 0.212 O
0.309 0.097 0.788 O
0.697 0.032 0.664 O
0.903 0.691 0.212 O
0.968 0.303 0.336 O
0.968 0.632 0.664 O
0.478 0.691 0.788 O
```

***

Entry 5:
The following is a PBE-GGA calculation of an optimized crystal structure of YTaFe3, from the Alexandria database.

Calculated values
* ΔE_f: 0.83 eV per atom
* space-group type: Pm-3m
* magnetization: 0.9394 μB per atom

The structure in POSCAR format:
```
YTaFe3
1.0
4.595 0.000 0.000
0.000 4.595 0.000
0.000 0.000 4.595
Y Fe Ta
1 3 1
direct
0.500 0.500 0.500 Y
0.000 0.500 0.000 Fe
0.000 0.000 0.500 Fe
0.500 0.000 0.000 Fe
0.000 0.000 0.000 Ta
```

***

Entry 6:
The following is a PBE-GGA calculation of an optimized crystal structure of RePd2RuN, from the Alexandria database.

Calculated values
* space-group type: P4/mmm
* magnetization: 0.5217 μB per atom
* uncorrected formation energy: 1.21 eV per atom

The structure in POSCAR format:
```
RePd2RuN
1.0
-2.739 3.756 -1.637
-2.694 -2.370 -0.933
-1.992 0.500 4.480
Re N Pd Ru
1 1 2 1
direct
0.000 0.000 0.000 Re
0.000 0.500 0.000 N
0.000 0.000 0.500 Pd
0.500 0.000 0.000 Pd
0.500 0.500 0.500 Ru
```